This record from Alexandria describes a relaxed LaSm5Y6 crystal. The functional is PBE.

```
LaSm5Y6
1.0
6.1918 0.0112 -0.9062
-1.0512 7.9857 0.1755
0.1122 0.6042 8.0330
Sm Y La
5 6 1
direct
0.5000 0.1682 0.8318 Sm
0.0000 0.3344 0.6656 Sm
0.0000 0.6656 0.3344 Sm
0.5000 0.5000 0.5000 Sm
0.5000 0.8318 0.1682 Sm
0.7488 0.2505 0.2505 Y
0.2498 0.4177 0.0836 Y
0.7502 0.5823 0.9164 Y
0.2512 0.7495 0.7495 Y
0.7502 0.9164 0.5823 Y
0.2498 0.0836 0.4177 Y
0.0000 0.0000 0.0000 La
```

For the formation energy from the elements, the calculation gives 0.0170 eV/atom. The density of states at the Fermi level is 1.50 states/eV/atom. The calculation puts the magnetic moment at 0.0 Bohr magnetons per cell. As for the energy relative to the lowest polymorph listed for this composition: 4 meV/atom.

This record from Alexandria describes a relaxed KSbRu crystal. The functional is PBE.

```
KSbRu
1.0
4.7236 0.0000 0.0000
2.3618 4.0907 0.0000
2.3618 1.3636 3.8568
K Ru Sb
1 1 1
direct
0.5000 0.5000 0.5000 K
0.7500 0.7500 0.7500 Ru
0.0000 0.0000 0.0000 Sb
```

The density of states at the Fermi level is 0.68 states/eV/atom. The calculation puts the magnetic moment at 0.0 Bohr magnetons per cell. As for the energy relative to the lowest polymorph listed for this composition: 817 meV/atom. The raw formation energy comes out at 0.599 eV per atom.

This record from Alexandria describes a relaxed Rb2LaTeI6 crystal. The functional is PBE.

```
Rb2LaTeI6
1.0
-6.5488 -6.0818 -3.7233
5.4493 -7.5288 2.7131
-3.4376 -6.9688 4.8415
I La Te Rb
6 1 1 2
direct
0.7389 0.7389 0.5223 I
0.7712 0.2288 0.0000 I
0.2288 0.2288 0.0000 I
0.2611 0.2611 0.4777 I
0.2288 0.7712 0.0000 I
0.7712 0.7712 0.0000 I
0.0000 0.0000 0.0000 La
0.5000 0.5000 0.0000 Te
0.7500 0.2500 0.5000 Rb
0.2500 0.7500 0.5000 Rb
```

The density of states at the Fermi level is 0.73 states/eV/atom. The calculation puts the magnetic moment at 1.0 Bohr magnetons per cell. The raw formation energy comes out at -1.005 eV per atom.